This record from Alexandria via LeMat-Bulk describes a relaxed Hf2TaSn crystal. The functional is GGA-PBE.

Geometry as CIF:
```
data_Hf2TaSn
_chemical_formula_sum 'Hf2 Ta1 Sn1'
_symmetry_space_group_name_H-M 'P 4/m m m'
_symmetry_Int_Tables_number 123
_symmetry_space_group_name_Hall '-P 4 2'
_cell_length_a 3.601
_cell_length_b 3.601
_cell_length_c 6.431
_cell_angle_alpha 90.00
_cell_angle_beta 90.00
_cell_angle_gamma 90.00
loop_
_atom_site_label
_atom_site_type_symbol
_atom_site_fract_x
_atom_site_fract_y
_atom_site_fract_z
_atom_site_occupancy
Hf1 Hf 0.000 0.000 0.240 1
Ta1 Ta 0.500 0.500 0.000 1
Sn1 Sn 0.500 0.500 0.500 1
```

Summary:
Energy of formation from the pure elements ... -210 meV per atom
Calculated density ... 13.07 g cm⁻³
VASP energy ... -36.60 eV/cell

This record from Alexandria via LeMat-Bulk describes a relaxed Hf3TaTi2Sn3 crystal. The functional is GGA-PBE.

Geometry as CIF:
```
data_Hf3TaTi2Sn3
_chemical_formula_sum 'Hf3 Ta1 Ti2 Sn3'
_symmetry_space_group_name_H-M 'P -6 2 m'
_symmetry_Int_Tables_number 189
_symmetry_space_group_name_Hall 'P -6 -2'
_cell_length_a 8.3292
_cell_length_b 8.3292
_cell_length_c 3.0728
_cell_angle_alpha 90.00
_cell_angle_beta 90.00
_cell_angle_gamma 120.00
loop_
_atom_site_label
_atom_site_type_symbol
_atom_site_fract_x
_atom_site_fract_y
_atom_site_fract_z
_atom_site_occupancy
Hf1 Hf 0.0000 0.7050 0.0000 1
Ta1 Ta 0.0000 0.0000 0.5000 1
Ti1 Ti 0.3333 0.6667 0.0000 1
Sn1 Sn 0.0000 0.3702 0.5000 1
```

Summary:
Energy of formation from the pure elements ... -58 meV per atom
Calculated density ... 10.51 g cm⁻³
VASP energy ... -70.04 eV/cell

This record from Alexandria via LeMat-Bulk describes a relaxed Hf8Tc2Sn crystal. The functional is GGA-PBE.

Geometry as CIF:
```
data_Hf8Tc2Sn
_chemical_formula_sum 'Hf16 Tc4 Sn2'
_symmetry_space_group_name_H-M 'C 1 2/m 1'
_symmetry_Int_Tables_number 12
_cell_length_a 7.897
_cell_length_b 12.569
_cell_length_c 5.112
_cell_angle_alpha 90.00
_cell_angle_beta 109.21
_cell_angle_gamma 90.00
loop_
_symmetry_equiv_pos_as_xyz
'x,y,z'
'-x,-y,-z'
'-x,y,-z'
'x,-y,z'
'x+1/2,y+1/2,z'
'-x+1/2,-y+1/2,-z'
'-x+1/2,y+1/2,-z'
'x+1/2,-y+1/2,z'
loop_
_atom_site_label
_atom_site_type_symbol
_atom_site_fract_x
_atom_site_fract_y
_atom_site_fract_z
_atom_site_occupancy
Hf1 Hf 0.000 0.242 0.000 1
Hf2 Hf 0.098 0.500 0.806 1
Hf3 Hf 0.207 0.120 0.575 1
Tc1 Tc 0.000 0.298 0.500 1
Sn1 Sn 0.000 0.000 0.000 1
```

Summary:
Energy of formation from the pure elements ... -61 meV per atom
Calculated density ... 12.08 g cm⁻³
VASP energy ... -210.07 eV/cell

This record from Alexandria via LeMat-Bulk describes a relaxed HfTcSn crystal. The functional is GGA-PBE.

Geometry as CIF:
```
data_HfTcSn
_chemical_formula_sum 'Hf2 Tc2 Sn2'
_symmetry_space_group_name_H-M 'P 4/n m m'
_symmetry_Int_Tables_number 129
_cell_length_a 3.427
_cell_length_b 3.427
_cell_length_c 9.715
_cell_angle_alpha 90.00
_cell_angle_beta 90.00
_cell_angle_gamma 90.00
loop_
_symmetry_equiv_pos_as_xyz
'x,y,z'
'-x,-y,-z'
'-y+1/2,x,z'
'y+1/2,-x,-z'
'-x+1/2,-y+1/2,z'
'x+1/2,y+1/2,-z'
'y,-x+1/2,z'
'-y,x+1/2,-z'
'x+1/2,-y,-z'
'-x+1/2,y,z'
'-y,-x,-z'
'y,x,z'
'-x,y+1/2,-z'
'x,-y+1/2,z'
'y+1/2,x+1/2,-z'
'-y+1/2,-x+1/2,z'
loop_
_atom_site_label
_atom_site_type_symbol
_atom_site_fract_x
_atom_site_fract_y
_atom_site_fract_z
_atom_site_occupancy
Hf1 Hf 0.250 0.250 0.097 1
Tc1 Tc 0.250 0.250 0.740 1
Sn1 Sn 0.250 0.250 0.403 1
```

Summary:
Energy of formation from the pure elements ... -160 meV per atom
Calculated density ... 11.51 g cm⁻³
Offset from the most stable computed form ... 0.106 eV/atom
VASP energy ... -49.60 eV/cell

This record from Alexandria via LeMat-Bulk describes a relaxed Hf6Tc2Sn crystal. The functional is GGA-PBE.

Geometry as CIF:
```
data_Hf6Tc2Sn
_chemical_formula_sum 'Hf24 Tc8 Sn4'
_symmetry_space_group_name_H-M 'I m m m'
_symmetry_Int_Tables_number 71
_symmetry_space_group_name_Hall '-I 2 2'
_cell_length_a 8.662
_cell_length_b 8.772
_cell_length_c 10.053
_cell_angle_alpha 90.00
_cell_angle_beta 90.00
_cell_angle_gamma 90.00
loop_
_atom_site_label
_atom_site_type_symbol
_atom_site_fract_x
_atom_site_fract_y
_atom_site_fract_z
_atom_site_occupancy
Hf1 Hf 0.000 0.207 0.241 1
Hf2 Hf 0.196 0.500 0.168 1
Hf3 Hf 0.203 0.309 0.500 1
Tc1 Tc 0.000 0.326 0.000 1
Tc2 Tc 0.000 0.500 0.364 1
Sn1 Sn 0.000 0.000 0.000 1
Sn2 Sn 0.000 0.000 0.500 1
```

Summary:
Energy of formation from the pure elements ... -184 meV per atom
Calculated density ... 12.05 g cm⁻³
VASP energy ... -344.45 eV/cell

This record from Alexandria via LeMat-Bulk describes a relaxed Hf3TcSn crystal. The functional is GGA-PBE.

Geometry as CIF:
```
data_Hf3TcSn
_chemical_formula_sum 'Hf3 Tc1 Sn1'
_symmetry_space_group_name_H-M 'P m -3 m'
_symmetry_Int_Tables_number 221
_symmetry_space_group_name_Hall '-P 4 2 3'
_cell_length_a 4.979
_cell_length_b 4.979
_cell_length_c 4.979
_cell_angle_alpha 90.00
_cell_angle_beta 90.00
_cell_angle_gamma 90.00
loop_
_atom_site_label
_atom_site_type_symbol
_atom_site_fract_x
_atom_site_fract_y
_atom_site_fract_z
_atom_site_occupancy
Hf1 Hf 0.000 0.000 0.500 1
Tc1 Tc 0.000 0.000 0.000 1
Sn1 Sn 0.500 0.500 0.500 1
```

Summary:
Energy of formation from the pure elements ... 330 meV per atom
Calculated density ... 10.12 g cm⁻³
Offset from the most stable computed form ... 0.000 eV/atom
VASP energy ... -42.58 eV/cell

This record from Alexandria via LeMat-Bulk describes a relaxed HfTc4Sn crystal. The functional is GGA-PBE.

Geometry as CIF:
```
data_HfTc4Sn
_chemical_formula_sum 'Hf4 Tc16 Sn4'
_symmetry_space_group_name_H-M 'F -4 3 m'
_symmetry_Int_Tables_number 216
_symmetry_space_group_name_Hall 'F -4 2 3'
_cell_length_a 7.406
_cell_length_b 7.406
_cell_length_c 7.406
_cell_angle_alpha 90.00
_cell_angle_beta 90.00
_cell_angle_gamma 90.00
loop_
_atom_site_label
_atom_site_type_symbol
_atom_site_fract_x
_atom_site_fract_y
_atom_site_fract_z
_atom_site_occupancy
Hf1 Hf 0.000 0.000 0.000 1
Tc1 Tc 0.124 0.124 0.624 1
Sn1 Sn 0.250 0.250 0.250 1
```

Summary:
Energy of formation from the pure elements ... -54 meV per atom
Calculated density ... 11.27 g cm⁻³
VASP energy ... -222.99 eV/cell

This record from Alexandria via LeMat-Bulk describes a relaxed Hf2TcSn2 crystal. The functional is GGA-PBE.

Geometry as CIF:
```
data_Hf2TcSn2
_chemical_formula_sum 'Hf4 Tc2 Sn4'
_symmetry_space_group_name_H-M 'P 4/m b m'
_symmetry_Int_Tables_number 127
_symmetry_space_group_name_Hall '-P 4 2ab'
_cell_length_a 7.030
_cell_length_b 7.030
_cell_length_c 4.193
_cell_angle_alpha 90.00
_cell_angle_beta 90.00
_cell_angle_gamma 90.00
loop_
_atom_site_label
_atom_site_type_symbol
_atom_site_fract_x
_atom_site_fract_y
_atom_site_fract_z
_atom_site_occupancy
Hf1 Hf 0.165 0.335 0.000 1
Tc1 Tc 0.000 0.000 0.500 1
Sn1 Sn 0.142 0.642 0.500 1
```

Summary:
Energy of formation from the pure elements ... -127 meV per atom
Calculated density ... 11.10 g cm⁻³
VASP energy ... -77.83 eV/cell

Look up the VASP energy of the fifth one. -344.45 eV/cell

What is the formula in the seventh record? HfTc4Sn